[1]
Li2HoAl2Ga2 after structural relaxation. Source: the Alexandria database, functional PBE.

The energy of formation from the pure elements is -2.80 eV per formula unit.

The structure belongs to space group C2/m (No. 12); the cell edges are 7.5010, 4.3211 and 8.0682 Å and the angles 90.00°, 107.78° and 90.00°. The distinct sites, in fractional coordinates, are Li at (0.1430, 0.0000, 0.4308), Ho at (0.0000, 0.0000, 0.0000), Al at (0.0674, 0.5000, 0.6994) and Ga at (0.2376, 0.5000, 0.2148).

***

[2]
LiHo2AlGa6 after structural relaxation. Source: the Alexandria database, functional PBE.

The energy of formation from the pure elements is -3.26 eV per formula unit.

The structure belongs to space group P-1 (No. 2); the cell edges are 5.3375, 6.4646 and 6.6402 Å and the angles 73.81°, 69.13° and 67.88°. The distinct sites, in fractional coordinates, are Li at (0.0000, 0.0000, 0.0000), Ho at (0.4916, 0.2449, 0.7430), Al at (0.0000, 0.5000, 0.5000), Ga at (0.0068, 0.3210, 0.1757), Ga at (0.1381, 0.0665, 0.5896) and Ga at (0.4935, 0.7202, 0.7879).

***

[3]
HoMgAlGa after structural relaxation. Source: the Alexandria database, functional PBE.

The energy of formation from the pure elements is -1.10 eV per formula unit.

The structure belongs to space group F-43m (No. 216); the cell edges are 6.9515, 6.9515 and 6.9515 Å and the angles 90.00°, 90.00° and 90.00°. The distinct sites, in fractional coordinates, are Ho at (0.0000, 0.0000, 0.0000), Mg at (0.0000, 0.0000, 0.5000), Al at (0.2500, 0.2500, 0.7500) and Ga at (0.2500, 0.2500, 0.2500).

***

[4]
NdHoAlGa after structural relaxation. Source: the Alexandria database, functional PBE.

The energy of formation from the pure elements is -1.94 eV per formula unit. Its polymorph energy (0 for the lowest one) is 0.000 eV/atom.

The structure belongs to space group Amm2 (No. 38); the cell edges are 4.1392, 4.4543 and 11.1921 Å and the angles 90.00°, 90.00° and 90.00°. The distinct sites, in fractional coordinates, are Nd at (0.0000, 0.0000, 0.0000), Ho at (0.5000, 0.0000, 0.2812), Al at (0.0000, 0.0000, 0.7134) and Ga at (0.5000, 0.0000, 0.5691).

***

[5]
NdHoAl2Ga2 after structural relaxation. Source: the Alexandria database, functional PBE.

The energy of formation from the pure elements is -3.42 eV per formula unit.

The structure belongs to space group P-3m1 (No. 164); the cell edges are 4.4143, 4.4143 and 7.6785 Å and the angles 90.00°, 90.00° and 120.00°. The distinct sites, in fractional coordinates, are Nd at (0.0000, 0.0000, 0.0000), Ho at (0.0000, 0.0000, 0.5000), Al at (0.3333, 0.6667, 0.7403) and Ga at (0.3333, 0.6667, 0.2633).

***

[6]
NdHo2Al2Ga2 after structural relaxation. Source: the Alexandria database, functional PBE.

The energy of formation from the pure elements is -2.76 eV per formula unit.

The structure belongs to space group R-3m (No. 166, hexagonal axes); the cell edges are 4.3963, 4.3963 and 29.7776 Å and the angles 90.00°, 90.00° and 120.00°. The distinct sites, in fractional coordinates, are Nd at (0.0000, 0.0000, 0.0000), Ho at (0.0000, 0.0000, 0.1293), Al at (0.0000, 0.0000, 0.3985) and Ga at (0.0000, 0.0000, 0.2544).

***

[7]
NdHoAlGa after structural relaxation. Source: the Alexandria database, functional PBE.

The energy of formation from the pure elements is -1.83 eV per formula unit. Its polymorph energy (0 for the lowest one) is 0.027 eV/atom.

The structure belongs to space group F-43m (No. 216); the cell edges are 7.2891, 7.2891 and 7.2891 Å and the angles 90.00°, 90.00° and 90.00°. The distinct sites, in fractional coordinates, are Nd at (0.0000, 0.0000, 0.0000), Ho at (0.0000, 0.0000, 0.5000), Al at (0.2500, 0.2500, 0.2500) and Ga at (0.2500, 0.2500, 0.7500).

***

[8]
HoAlGa2Ni5 after structural relaxation. Source: the Alexandria database, functional PBE.

The energy of formation from the pure elements is -1.00 eV per formula unit.

The structure belongs to space group P4/mmm (No. 123); the cell edges are 4.3538, 4.3538 and 7.1042 Å and the angles 90.00°, 90.00° and 90.00°. The distinct sites, in fractional coordinates, are Ho at (0.0000, 0.0000, 0.0000), Al at (0.0000, 0.0000, 0.5000), Ga at (0.5000, 0.5000, 0.3328), Ni at (0.0000, 0.5000, 0.2496) and Ni at (0.5000, 0.5000, 0.0000).

***

[9]
HoAlGa2Ni2 after structural relaxation. Source: the Alexandria database, functional PBE.

The energy of formation from the pure elements is -1.48 eV per formula unit.

The structure belongs to space group P4/mmm (No. 123); the cell edges are 4.3255, 4.3255 and 5.5326 Å and the angles 90.00°, 90.00° and 90.00°. The distinct sites, in fractional coordinates, are Ho at (0.0000, 0.0000, 0.0000), Al at (0.0000, 0.0000, 0.5000), Ga at (0.5000, 0.5000, 0.2415) and Ni at (0.0000, 0.5000, 0.5000).

***

[10]
Ho2AlGa2Ni5 after structural relaxation. Source: the Alexandria database, functional PBE.

The energy of formation from the pure elements is -4.15 eV per formula unit.

The structure belongs to space group P4/mbm (No. 127); the cell edges are 9.6451, 9.6451 and 3.2918 Å and the angles 90.00°, 90.00° and 90.00°. The distinct sites, in fractional coordinates, are Ho at (0.1755, 0.3245, 0.0000), Al at (0.0000, 0.0000, 0.0000), Ga at (0.1243, 0.6243, 0.0000), Ni at (0.0000, 0.5000, 0.5000) and Ni at (0.0523, 0.8010, 0.5000).

***

[11]
Ho2Al2GaNi5 after structural relaxation. Source: the Alexandria database, functional PBE.

The energy of formation from the pure elements is -3.80 eV per formula unit.

The structure belongs to space group P4/mbm (No. 127); the cell edges are 10.0556, 10.0556 and 3.0076 Å and the angles 90.00°, 90.00° and 90.00°. The distinct sites, in fractional coordinates, are Ho at (0.1732, 0.3268, 0.0000), Al at (0.1282, 0.6282, 0.0000), Ga at (0.0000, 0.0000, 0.0000), Ni at (0.0000, 0.5000, 0.5000) and Ni at (0.0513, 0.8070, 0.5000).

***

[12]
HoAl2GaNi4 after structural relaxation. Source: the Alexandria database, functional PBE.

The energy of formation from the pure elements is -4.15 eV per formula unit.

The structure belongs to space group R-3m (No. 166, hexagonal axes); the cell edges are 4.0694, 4.0694 and 24.2970 Å and the angles 90.00°, 90.00° and 120.00°. The distinct sites, in fractional coordinates, are Ho at (0.0000, 0.0000, 0.0000), Al at (0.0000, 0.0000, 0.2410), Ga at (0.0000, 0.0000, 0.5000), Ni at (0.0000, 0.0000, 0.1320) and Ni at (0.0000, 0.0000, 0.4033).